# HoTmIn

A geometry-optimized HoTmIn structure (GGA-PBE, Alexandria via LeMat-Bulk).

Summary:
The value obtained for the formation energy is -0.65 eV/f.u. As for the energy relative to the lowest polymorph listed for this composition: 0.0973 eV per atom.

The structure in POSCAR format:
```
HoTmIn
1.0
5.191 0.000 0.000
-2.596 4.496 0.000
0.000 0.000 3.590
Ho Tm In
1 1 1
Direct
0.000 0.000 0.000
0.667 0.333 0.556
0.333 0.667 0.303
```

# Y2ScS

A geometry-optimized Y2ScS structure (GGA-PBE, Alexandria via LeMat-Bulk).

Summary:
The calculation puts the uncorrected formation energy at -665 meV per atom.

The structure in POSCAR format:
```
Y2ScS
1.0
1.814 1.047 9.616
-1.814 1.047 9.616
0.000 -2.095 9.616
Y Sc S
2 1 1
Direct
0.109 0.109 0.109
0.891 0.891 0.891
0.000 0.000 0.000
0.500 0.500 0.500
```

# LaCu2H

A geometry-optimized LaCu2H structure (GGA-PBE, Alexandria via LeMat-Bulk).

Summary:
As for the energy relative to the lowest polymorph listed for this composition: 0.3636 eV per atom.

The structure in POSCAR format:
```
LaCu2H
1.0
0.000 3.320 3.320
3.320 0.000 3.320
3.320 3.320 0.000
La Cu H
1 2 1
Direct
0.000 0.000 0.000
0.250 0.250 0.250
0.750 0.750 0.750
0.500 0.500 0.500
```

# NaMg4In5

A geometry-optimized NaMg4In5 structure (GGA-PBE, Alexandria via LeMat-Bulk).

Summary:
The value obtained for the formation energy is -1.00 eV/f.u.

The structure in POSCAR format:
```
NaMg4In5
1.0
3.247 0.000 0.000
0.000 3.247 0.000
0.000 0.000 22.720
Na Mg In
1 4 5
Direct
0.000 0.000 0.000
0.000 0.000 0.206
0.000 0.000 0.402
0.000 0.000 0.598
0.000 0.000 0.794
0.500 0.500 0.110
0.500 0.500 0.304
0.500 0.500 0.500
0.500 0.500 0.696
0.500 0.500 0.890
```

# K2NaMgI5

A geometry-optimized K2NaMgI5 structure (GGA-PBE, Alexandria via LeMat-Bulk).

Summary:
The calculation puts the uncorrected formation energy at -1264 meV per atom.

The structure in POSCAR format:
```
K2NaMgI5
1.0
2.305 -10.875 0.000
2.305 10.875 0.000
0.000 0.000 15.017
K Na Mg I
4 2 2 10
Direct
0.131 0.869 0.500
0.132 0.868 0.860
0.868 0.132 0.360
0.869 0.131 0.000
0.213 0.787 0.210
0.787 0.213 0.710
0.438 0.562 0.603
0.562 0.438 0.103
0.043 0.957 0.206
0.297 0.703 0.852
0.316 0.684 0.553
0.356 0.644 0.182
0.499 0.501 0.446
0.501 0.499 0.946
0.644 0.356 0.682
0.684 0.316 0.053
0.703 0.297 0.352
0.957 0.043 0.706
```

# Tl2SiAu

A geometry-optimized Tl2SiAu structure (GGA-PBE, Alexandria via LeMat-Bulk).

Summary:
As for the energy relative to the lowest polymorph listed for this composition: 0.3272 eV per atom. The calculation puts the uncorrected formation energy at 355 meV per atom.

The structure in POSCAR format:
```
Tl2SiAu
1.0
3.746 -1.934 0.000
3.746 1.934 0.000
-1.926 0.000 6.801
Tl Si Au
2 1 1
Direct
0.248 0.248 0.241
0.752 0.752 0.759
0.500 0.500 0.000
0.000 0.000 0.500
```